DyTm3Ag4: optimized geometry, PBE.

The structure in CIF format:
```
data_DyTm3Ag4
_chemical_formula_sum 'Dy1 Tm3 Ag4'
_space_group_name_H-M_alt 'P 1'
_space_group_IT_number 1
_space_group_name_Hall 'P 1'
_cell_length_a 3.5630
_cell_length_b 5.1192
_cell_length_c 10.2340
_cell_angle_alpha 90.00
_cell_angle_beta 90.00
_cell_angle_gamma 90.00
loop_
_atom_site_label
_atom_site_type_symbol
_atom_site_fract_x
_atom_site_fract_y
_atom_site_fract_z
_atom_site_occupancy
Dy1 Dy 0.0000 0.0000 0.0000 1
Tm1 Tm 0.0000 0.0000 0.5000 1
Tm2 Tm 0.0000 0.5000 0.2509 1
Tm3 Tm 0.0000 0.5000 0.7491 1
Ag1 Ag 0.5000 0.0000 0.2535 1
Ag2 Ag 0.5000 0.0000 0.7465 1
Ag3 Ag 0.5000 0.5000 0.0000 1
Ag4 Ag 0.5000 0.5000 0.5000 1
```

## Properties
M_tot ... 0.00 μB/atom
Energy of formation from the pure elements ... -0.334 eV per atom
Calculated total energy ... -32.09 eV/f.u.
Calculated volume ... 187 Å³/cell

Pm3CdSi2Pt9: optimized geometry, PBE.

The structure in CIF format:
```
data_Pm3CdSi2Pt9
_chemical_formula_sum 'Pm3 Cd1 Si2 Pt9'
_space_group_name_H-M_alt 'P 1'
_space_group_IT_number 1
_space_group_name_Hall 'P 1'
_cell_length_a 5.7254
_cell_length_b 5.7254
_cell_length_c 11.1030
_cell_angle_alpha 90.00
_cell_angle_beta 90.00
_cell_angle_gamma 120.00
loop_
_atom_site_label
_atom_site_type_symbol
_atom_site_fract_x
_atom_site_fract_y
_atom_site_fract_z
_atom_site_occupancy
Pm1 Pm 0.0000 0.0000 0.0000 1
Pm2 Pm 0.3333 0.6667 0.6048 1
Pm3 Pm 0.6667 0.3333 0.3952 1
Cd1 Cd 0.0000 0.0000 0.5000 1
Si1 Si 0.3333 0.6667 0.1575 1
Si2 Si 0.6667 0.3333 0.8425 1
Pt1 Pt 0.0000 0.5000 0.0000 1
Pt2 Pt 0.1621 0.3242 0.3023 1
Pt3 Pt 0.1621 0.8379 0.3023 1
Pt4 Pt 0.3242 0.1621 0.6977 1
Pt5 Pt 0.5000 0.0000 0.0000 1
Pt6 Pt 0.5000 0.5000 0.0000 1
Pt7 Pt 0.6758 0.8379 0.3023 1
Pt8 Pt 0.8379 0.1621 0.6977 1
Pt9 Pt 0.8379 0.6758 0.6977 1
```

## Properties
M_tot ... 0.00 μB/atom
Calculated total energy ... -91.74 eV/f.u.
Calculated volume ... 315 Å³/cell
Formation energy (no corrections) ... -757 meV per atom

FeRe2Se5: optimized geometry, PBE.

The structure in CIF format:
```
data_FeRe2Se5
_chemical_formula_sum 'Fe1 Re2 Se5'
_space_group_name_H-M_alt 'P 1'
_space_group_IT_number 1
_space_group_name_Hall 'P 1'
_cell_length_a 5.4768
_cell_length_b 6.4969
_cell_length_c 6.5338
_cell_angle_alpha 117.39
_cell_angle_beta 94.11
_cell_angle_gamma 107.79
loop_
_atom_site_label
_atom_site_type_symbol
_atom_site_fract_x
_atom_site_fract_y
_atom_site_fract_z
_atom_site_occupancy
Fe1 Fe 0.0000 0.0000 0.0000 1
Re1 Re 0.0673 0.0790 0.4424 1
Re2 Re 0.5144 0.8776 0.8941 1
Se1 Se 0.1256 0.8244 0.6358 1
Se2 Se 0.1948 0.7792 0.1246 1
Se3 Se 0.4623 0.4428 0.6570 1
Se4 Se 0.8214 0.2518 0.2906 1
Se5 Se 0.8239 0.1575 0.7711 1
```

## Properties
M_tot ... 0.22 μB/atom
Calculated total energy ... -49.86 eV/f.u.
Calculated volume ... 190 Å³/cell
Formation energy (no corrections) ... 115 meV per atom

Li2TaW: optimized geometry, PBE.

The structure in CIF format:
```
data_Li2TaW
_chemical_formula_sum 'Li2 Ta1 W1'
_space_group_name_H-M_alt 'P 1'
_space_group_IT_number 1
_space_group_name_Hall 'P 1'
_cell_length_a 2.5564
_cell_length_b 4.4748
_cell_length_c 5.9357
_cell_angle_alpha 90.00
_cell_angle_beta 102.15
_cell_angle_gamma 90.00
loop_
_atom_site_label
_atom_site_type_symbol
_atom_site_fract_x
_atom_site_fract_y
_atom_site_fract_z
_atom_site_occupancy
Li1 Li 0.0000 0.0000 0.0000 1
Li2 Li 0.1423 0.5000 0.2221 1
Ta1 Ta 0.7725 0.0000 0.5070 1
W1 W 0.3793 0.5000 0.7292 1
```

## Properties
Distance to the lowest polymorph of the same formula ... 0.194 eV/atom
M_tot ... 0.00 μB/atom
Energy of formation from the pure elements ... 0.430 eV per atom
Calculated total energy ... -26.91 eV/f.u.
Calculated volume ... 66 Å³/cell